Record 1
# BaInGe2S6

Crystalline BaInGe2S6 at its relaxed geometry (PBE, Alexandria via LeMat-Bulk).

a b c (Å): 8.585 8.585 7.375
angles (deg): 103.45 103.45 85.85
Fractional coordinates of all 20 atoms:
Ba: 0.184 0.816 0.750
Ba: 0.816 0.184 0.250
In: 0.394 0.606 0.250
In: 0.606 0.394 0.750
Ge: 0.112 0.301 0.776
Ge: 0.301 0.112 0.276
Ge: 0.699 0.888 0.724
Ge: 0.888 0.699 0.224
S: 0.111 0.160 0.010
S: 0.121 0.569 0.330
S: 0.160 0.111 0.510
S: 0.314 0.480 0.871
S: 0.431 0.879 0.170
S: 0.480 0.314 0.371
S: 0.520 0.686 0.629
S: 0.569 0.121 0.830
S: 0.686 0.520 0.129
S: 0.840 0.889 0.490
S: 0.879 0.431 0.670
S: 0.889 0.840 0.990

Results
**Energy relative to the elements, uncorrected**: -699 meV/atom
**Fermi-level density of states**: 1.8 states/eV/f.u.

=====

Record 2
# BaInGe2Sb

Crystalline BaInGe2Sb at its relaxed geometry (PBE, Alexandria via LeMat-Bulk).

a b c (Å): 5.533 5.533 5.631
angles (deg): 90.00 90.00 90.00
Fractional coordinates of all 5 atoms:
Ba: 0.000 0.000 0.000
In: 0.500 0.500 0.000
Ge: 0.000 0.500 0.500
Ge: 0.500 0.000 0.500
Sb: 0.500 0.500 0.500

Results
**Energy relative to the elements, uncorrected**: 212 meV/atom
**Fermi-level density of states**: 3.5 states/eV/f.u.

=====

Record 3
# BaInGe2Se6

Crystalline BaInGe2Se6 at its relaxed geometry (PBE, Alexandria via LeMat-Bulk).

a b c (Å): 9.322 9.322 7.687
angles (deg): 106.30 106.30 86.10
Fractional coordinates of all 20 atoms:
Ba: 0.185 0.815 0.750
Ba: 0.815 0.185 0.250
In: 0.352 0.648 0.250
In: 0.648 0.352 0.750
Ge: 0.118 0.303 0.796
Ge: 0.303 0.118 0.296
Ge: 0.697 0.882 0.704
Ge: 0.882 0.697 0.204
Se: 0.108 0.156 0.016
Se: 0.111 0.569 0.324
Se: 0.156 0.108 0.516
Se: 0.318 0.484 0.891
Se: 0.431 0.889 0.176
Se: 0.484 0.318 0.391
Se: 0.516 0.682 0.609
Se: 0.569 0.111 0.824
Se: 0.682 0.516 0.109
Se: 0.844 0.892 0.484
Se: 0.889 0.431 0.676
Se: 0.892 0.844 0.984

Results
**Energy relative to the elements, uncorrected**: -643 meV/atom
**Fermi-level density of states**: 1.7 states/eV/f.u.

=====

Record 4
# BaIn2GeSe6

Crystalline BaIn2GeSe6 at its relaxed geometry (PBE, Alexandria via LeMat-Bulk).

a b c (Å): 9.792 9.792 8.418
angles (deg): 112.00 112.00 79.29
Fractional coordinates of all 20 atoms:
Ba: 0.180 0.820 0.750
Ba: 0.820 0.180 0.250
In: 0.240 0.366 0.884
In: 0.366 0.240 0.384
In: 0.634 0.760 0.616
In: 0.760 0.634 0.116
Ge: 0.167 0.833 0.250
Ge: 0.833 0.167 0.750
Se: 0.044 0.159 0.663
Se: 0.110 0.636 0.966
Se: 0.159 0.044 0.163
Se: 0.266 0.438 0.622
Se: 0.364 0.890 0.534
Se: 0.438 0.266 0.122
Se: 0.562 0.734 0.878
Se: 0.636 0.110 0.466
Se: 0.734 0.562 0.378
Se: 0.841 0.956 0.837
Se: 0.890 0.364 0.034
Se: 0.956 0.841 0.337

Results
**Energy relative to the elements, uncorrected**: -685 meV/atom

=====

Record 5
# Ba2In4Sn3Ge

Crystalline Ba2In4Sn3Ge at its relaxed geometry (PBE, Alexandria via LeMat-Bulk).

a b c (Å): 5.333 5.333 11.044
angles (deg): 90.00 90.00 90.00
Fractional coordinates of all 10 atoms:
Ba: 0.000 0.500 0.241
Ba: 0.500 0.000 0.759
In: 0.000 0.000 0.500
In: 0.000 0.500 0.888
In: 0.500 0.000 0.112
In: 0.500 0.500 0.500
Sn: 0.000 0.000 0.000
Sn: 0.000 0.500 0.627
Sn: 0.500 0.000 0.373
Ge: 0.500 0.500 0.000

Results
**Energy of formation from the pure elements**: -0.32 eV/atom
**Fermi-level density of states**: 3.9 states/eV/f.u.

=====

Record 6
# Ba3In6Sn2Ge

Crystalline Ba3In6Sn2Ge at its relaxed geometry (PBE, Alexandria via LeMat-Bulk).

a b c (Å): 7.055 7.055 9.577
angles (deg): 90.00 90.00 120.00
Fractional coordinates of all 12 atoms:
Ba: 0.000 0.000 0.000
Ba: 0.333 0.667 0.685
Ba: 0.667 0.333 0.315
In: 0.188 0.376 0.325
In: 0.188 0.812 0.325
In: 0.376 0.188 0.675
In: 0.624 0.812 0.325
In: 0.812 0.188 0.675
In: 0.812 0.624 0.675
Sn: 0.333 0.667 0.051
Sn: 0.667 0.333 0.949
Ge: 0.000 0.000 0.500

Results
**Energy of formation from the pure elements**: -0.16 eV/atom
**Fermi-level density of states**: 7.7 states/eV/f.u.

=====

Record 7
# Ba2In6SnGe

Crystalline Ba2In6SnGe at its relaxed geometry (PBE, Alexandria via LeMat-Bulk).

a b c (Å): 6.235 9.314 11.245
angles (deg): 90.00 90.00 90.00
Fractional coordinates of all 20 atoms:
Ba: 0.250 0.000 0.229
Ba: 0.250 0.500 0.229
Ba: 0.750 0.000 0.771
Ba: 0.750 0.500 0.771
In: 0.002 0.250 0.507
In: 0.005 0.750 0.990
In: 0.250 0.510 0.611
In: 0.250 0.990 0.611
In: 0.495 0.750 0.990
In: 0.498 0.250 0.507
In: 0.502 0.750 0.493
In: 0.505 0.250 0.010
In: 0.750 0.010 0.389
In: 0.750 0.490 0.389
In: 0.995 0.250 0.010
In: 0.998 0.750 0.493
Sn: 0.250 0.250 0.783
Sn: 0.750 0.750 0.217
Ge: 0.250 0.750 0.776
Ge: 0.750 0.250 0.224

Results
**Energy of formation from the pure elements**: -0.19 eV/atom
**Fermi-level density of states**: 4.3 states/eV/f.u.

=====

Record 8
# BaIn2TcGe

Crystalline BaIn2TcGe at its relaxed geometry (PBE, Alexandria via LeMat-Bulk).

a b c (Å): 5.269 5.269 4.880
angles (deg): 90.00 90.00 90.00
Fractional coordinates of all 5 atoms:
Ba: 0.000 0.000 0.000
In: 0.000 0.500 0.500
In: 0.500 0.000 0.500
Tc: 0.500 0.500 0.500
Ge: 0.500 0.500 0.000

Results
**Energy of formation from the pure elements**: -0.22 eV/atom
**Fermi-level density of states**: 2.2 states/eV/f.u.

=====

Record 9
# Ba2InGeTe5

Crystalline Ba2InGeTe5 at its relaxed geometry (PBE, Alexandria via LeMat-Bulk).

a b c (Å): 10.792 10.792 13.489
angles (deg): 90.00 90.00 155.26
Fractional coordinates of all 18 atoms:
Ba: 0.113 0.887 0.500
Ba: 0.125 0.875 0.117
Ba: 0.875 0.125 0.617
Ba: 0.887 0.113 0.000
In: 0.427 0.573 0.264
In: 0.573 0.427 0.764
Ge: 0.230 0.770 0.838
Ge: 0.770 0.230 0.338
Te: 0.048 0.952 0.880
Te: 0.278 0.722 0.476
Te: 0.298 0.702 0.188
Te: 0.357 0.643 0.811
Te: 0.499 0.501 0.089
Te: 0.501 0.499 0.589
Te: 0.643 0.357 0.311
Te: 0.702 0.298 0.688
Te: 0.722 0.278 0.976
Te: 0.952 0.048 0.380

Results
**Energy relative to the elements, uncorrected**: -867 meV/atom
**Fermi-level density of states**: 4.0 states/eV/f.u.

=====

Record 10
# BaTiInGe2

Crystalline BaTiInGe2 at its relaxed geometry (PBE, Alexandria via LeMat-Bulk).

a b c (Å): 5.074 5.074 5.692
angles (deg): 90.00 90.00 90.00
Fractional coordinates of all 5 atoms:
Ba: 0.000 0.000 0.000
Ti: 0.000 0.000 0.500
In: 0.500 0.500 0.000
Ge: 0.000 0.500 0.500
Ge: 0.500 0.000 0.500

Results
**Energy of formation from the pure elements**: 0.23 eV/atom
**Fermi-level density of states**: 3.6 states/eV/f.u.

=====

Record 11
# Ba2Tl3In4Ge

Crystalline Ba2Tl3In4Ge at its relaxed geometry (PBE, Alexandria via LeMat-Bulk).

a b c (Å): 5.203 5.203 11.793
angles (deg): 90.00 90.00 90.00
Fractional coordinates of all 10 atoms:
Ba: 0.000 0.500 0.237
Ba: 0.500 0.000 0.763
Tl: 0.000 0.000 0.000
Tl: 0.000 0.500 0.636
Tl: 0.500 0.000 0.364
In: 0.000 0.000 0.500
In: 0.000 0.500 0.884
In: 0.500 0.000 0.116
In: 0.500 0.500 0.500
Ge: 0.500 0.500 0.000

Results
**Energy of formation from the pure elements**: -0.26 eV/atom
**Fermi-level density of states**: 3.1 states/eV/f.u.

=====

Record 12
# BaTl2InGe

Crystalline BaTl2InGe at its relaxed geometry (PBE, Alexandria via LeMat-Bulk).

a b c (Å): 5.529 5.529 6.308
angles (deg): 90.00 90.00 90.00
Fractional coordinates of all 5 atoms:
Ba: 0.000 0.000 0.000
Tl: 0.000 0.500 0.500
Tl: 0.500 0.000 0.500
In: 0.500 0.500 0.000
Ge: 0.000 0.000 0.500

Results
**Energy of formation from the pure elements**: 0.11 eV/atom
**Fermi-level density of states**: 4.2 states/eV/f.u.

=====

Record 13
# Ba2VInGe

Crystalline Ba2VInGe at its relaxed geometry (PBE, Alexandria via LeMat-Bulk).

a b c (Å): 6.585 6.585 5.162
angles (deg): 90.00 90.00 90.00
Fractional coordinates of all 5 atoms:
Ba: 0.000 0.500 0.000
Ba: 0.500 0.000 0.000
V: 0.000 0.000 0.500
In: 0.500 0.500 0.000
Ge: 0.500 0.500 0.500

Results
**Energy of formation from the pure elements**: 0.96 eV/atom
**Fermi-level density of states**: 14.2 states/eV/f.u.

=====

Record 14
# BaZnIn2Ge

Crystalline BaZnIn2Ge at its relaxed geometry (PBE, Alexandria via LeMat-Bulk).

a b c (Å): 6.724 6.724 6.724
angles (deg): 138.49 137.38 61.01
Fractional coordinates of all 5 atoms:
Ba: 0.000 0.000 0.000
Zn: 0.241 0.741 0.500
In: 0.376 0.376 0.000
In: 0.742 0.242 0.500
Ge: 0.614 0.614 0.000

Results
**Energy of formation from the pure elements**: -0.31 eV/atom
**Fermi-level density of states**: 1.2 states/eV/f.u.

=====

Record 15
# Ba2Zn4In3Ge

Crystalline Ba2Zn4In3Ge at its relaxed geometry (PBE, Alexandria via LeMat-Bulk).

a b c (Å): 4.731 4.731 11.401
angles (deg): 90.00 90.00 90.00
Fractional coordinates of all 10 atoms:
Ba: 0.000 0.500 0.247
Ba: 0.500 0.000 0.753
Zn: 0.000 0.000 0.500
Zn: 0.000 0.500 0.873
Zn: 0.500 0.000 0.127
Zn: 0.500 0.500 0.500
In: 0.000 0.000 0.000
In: 0.000 0.500 0.630
In: 0.500 0.000 0.370
Ge: 0.500 0.500 0.000

Results
**Energy of formation from the pure elements**: -0.29 eV/atom
**Fermi-level density of states**: 4.2 states/eV/f.u.

=====

Record 16
# Ba2ZnIn4Ge3

Crystalline Ba2ZnIn4Ge3 at its relaxed geometry (PBE, Alexandria via LeMat-Bulk).

a b c (Å): 5.011 5.011 11.005
angles (deg): 90.00 90.00 90.00
Fractional coordinates of all 10 atoms:
Ba: 0.000 0.500 0.236
Ba: 0.500 0.000 0.764
Zn: 0.500 0.500 0.000
In: 0.000 0.000 0.500
In: 0.000 0.500 0.880
In: 0.500 0.000 0.120
In: 0.500 0.500 0.500
Ge: 0.000 0.000 0.000
Ge: 0.000 0.500 0.629
Ge: 0.500 0.000 0.371

Results
**Energy of formation from the pure elements**: -0.29 eV/atom
**Fermi-level density of states**: 3.2 states/eV/f.u.

=====

Record 17
# BaGe3Ir

Crystalline BaGe3Ir at its relaxed geometry (PBE, Alexandria via LeMat-Bulk).

a b c (Å): 4.993 4.993 4.993
angles (deg): 90.00 90.00 90.00
Fractional coordinates of all 5 atoms:
Ba: 0.000 0.000 0.000
Ge: 0.000 0.500 0.500
Ge: 0.500 0.000 0.500
Ge: 0.500 0.500 0.000
Ir: 0.500 0.500 0.500

Results
**Energy of formation from the pure elements**: 0.00 eV/atom
**Fermi-level density of states**: 10.1 states/eV/f.u.

=====

Record 18
# Ba2GeIr2

Crystalline Ba2GeIr2 at its relaxed geometry (PBE, Alexandria via LeMat-Bulk).

a b c (Å): 6.803 6.803 5.321
angles (deg): 90.00 90.00 90.00
Fractional coordinates of all 10 atoms:
Ba: 0.182 0.318 0.000
Ba: 0.318 0.818 0.000
Ba: 0.682 0.182 0.000
Ba: 0.818 0.682 0.000
Ge: 0.000 0.000 0.500
Ge: 0.500 0.500 0.500
Ir: 0.131 0.631 0.500
Ir: 0.369 0.131 0.500
Ir: 0.631 0.869 0.500
Ir: 0.869 0.369 0.500

Results
**Energy of formation from the pure elements**: -0.06 eV/atom
**Fermi-level density of states**: 1.9 states/eV/f.u.

=====

Record 19
# Ba3GeIr

Crystalline Ba3GeIr at its relaxed geometry (PBE, Alexandria via LeMat-Bulk).

a b c (Å): 5.978 5.978 5.978
angles (deg): 90.00 90.00 90.00
Fractional coordinates of all 5 atoms:
Ba: 0.000 0.000 0.500
Ba: 0.000 0.500 0.000
Ba: 0.500 0.000 0.000
Ge: 0.500 0.500 0.500
Ir: 0.000 0.000 0.000

Results
**ΔE to the lowest computed polymorph**: 0.0 meV/atom
**Energy of formation from the pure elements**: -0.03 eV/atom
**Fermi-level density of states**: 3.8 states/eV/f.u.

=====

Record 20
# BaGeIr

Crystalline BaGeIr at its relaxed geometry (PBE, Alexandria via LeMat-Bulk).

a b c (Å): 4.260 4.260 5.069
angles (deg): 90.00 90.00 120.00
Fractional coordinates of all 3 atoms:
Ba: 0.000 0.000 0.000
Ge: 0.333 0.667 0.500
Ir: 0.667 0.333 0.500

Results
**Energy of formation from the pure elements**: -0.46 eV/atom
**Fermi-level density of states**: 2.9 states/eV/f.u.